P:
{"formula": "MgCoHRh2", "functional": "PBE", "state": "relaxed", "lattice_angstrom": [[3.962, 0.000, 0.000], [0.000, 3.962, 0.000], [0.000, 0.000, 3.635]], "species": ["Mg", "Co", "H", "Rh", "Rh"], "fractional_positions": [[0.000, 0.000, 0.000], [0.500, 0.500, 0.000], [0.500, 0.500, 0.500], [0.000, 0.500, 0.500], [0.500, 0.000, 0.500]], "total_magnetization_mub_per_cell": 0.001, "spacegroup": "P4/mmm (123)"}

Q:
{"formula": "MgCoHRh2", "functional": "PBE", "state": "relaxed", "lattice_angstrom": [[3.901, 0.000, 0.000], [0.000, 3.901, 0.000], [0.000, 0.000, 3.879]], "species": ["Mg", "Co", "H", "Rh", "Rh"], "fractional_positions": [[0.000, 0.000, 0.000], [0.500, 0.500, 0.000], [0.000, 0.000, 0.500], [0.000, 0.500, 0.500], [0.500, 0.000, 0.500]], "total_magnetization_mub_per_cell": 2.579, "spacegroup": "P4/mmm (123)"}

Energetically preferred structure: P | next structure: +8.8 kJ/mol of atoms

P:
{"formula": "Mn2CoH4", "functional": "PBE", "state": "relaxed", "lattice_angstrom": [[4.165, 0.000, 0.000], [0.000, 5.832, 0.000], [0.000, 0.000, 4.374]], "species": ["Mn", "Mn", "Mn", "Mn", "Co", "Co", "H", "H", "H", "H", "H", "H", "H", "H"], "fractional_positions": [[0.250, 0.003, 0.241], [0.250, 0.497, 0.241], [0.750, 0.503, 0.759], [0.750, 0.997, 0.759], [0.250, 0.250, 0.745], [0.750, 0.750, 0.255], [0.014, 0.750, 0.514], [0.250, 0.518, 0.823], [0.250, 0.982, 0.823], [0.486, 0.750, 0.514], [0.514, 0.250, 0.486], [0.750, 0.018, 0.177], [0.750, 0.482, 0.177], [0.986, 0.250, 0.486]], "total_magnetization_mub_per_cell": 16.322, "spacegroup": "Pmmn (59)"}

Q:
{"formula": "Mn2CoH4", "functional": "PBE", "state": "relaxed", "lattice_angstrom": [[-2.167, 2.167, 2.793], [2.167, -2.167, 2.793], [2.167, 2.167, -2.793]], "species": ["Mn", "Mn", "Co", "H", "H", "H", "H"], "fractional_positions": [[0.250, 0.750, 0.500], [0.750, 0.250, 0.500], [0.000, 0.000, 0.000], [0.261, 0.261, 0.523], [0.261, 0.739, 0.000], [0.739, 0.261, 0.000], [0.739, 0.739, 0.477]], "total_magnetization_mub_per_cell": 8.077, "spacegroup": "I4/mmm (139)"}

R:
{"formula": "Mn2CoH4", "functional": "PBE", "state": "relaxed", "lattice_angstrom": [[-1.460, 1.460, 5.958], [1.460, -1.460, 5.958], [1.460, 1.460, -5.958]], "species": ["Mn", "Mn", "Co", "H", "H", "H", "H"], "fractional_positions": [[0.197, 0.197, 0.000], [0.803, 0.803, 0.000], [0.000, 0.000, 0.000], [0.000, 0.500, 0.500], [0.337, 0.337, 0.000], [0.500, 0.000, 0.500], [0.663, 0.663, 0.000]], "total_magnetization_mub_per_cell": 2.243, "spacegroup": "I4/mmm (139)"}

Energetically preferred structure: P | next structure: +0.5 kJ/mol of atoms

P:
{"formula": "Mn2CoH", "functional": "PBE", "state": "relaxed", "lattice_angstrom": [[2.495, 0.000, 0.000], [0.000, 2.495, 0.000], [0.000, 0.000, 5.714]], "species": ["Mn", "Mn", "Co", "H"], "fractional_positions": [[0.000, 0.000, 0.200], [0.000, 0.000, 0.800], [0.500, 0.500, 0.500], [0.500, 0.500, 0.000]], "total_magnetization_mub_per_cell": 2.944, "spacegroup": "P4/mmm (123)"}

Q:
{"formula": "Mn2CoH", "functional": "PBE", "state": "relaxed", "lattice_angstrom": [[4.443, 0.000, 0.000], [0.000, 2.539, 0.000], [-1.430, 0.000, 6.127]], "species": ["Mn", "Mn", "Mn", "Mn", "Co", "Co", "H", "H"], "fractional_positions": [[0.220, 0.000, 0.173], [0.279, 0.500, 0.825], [0.721, 0.500, 0.175], [0.780, 0.000, 0.827], [0.000, 0.000, 0.500], [0.500, 0.500, 0.500], [0.000, 0.500, 0.000], [0.500, 0.000, 0.000]], "total_magnetization_mub_per_cell": 0.511, "spacegroup": "P2/m (10)"}

Energetically preferred structure: Q | next structure: +24.1 kJ/mol of atoms

P:
{"formula": "Mn2CoH", "functional": "PBE", "state": "relaxed", "lattice_angstrom": [[1.260, 0.728, 6.667], [-1.260, 0.728, 6.667], [0.000, -1.455, 6.667]], "species": ["Mn", "Mn", "Co", "H"], "fractional_positions": [[0.116, 0.116, 0.116], [0.884, 0.884, 0.884], [0.000, 0.000, 0.000], [0.500, 0.500, 0.500]], "total_magnetization_mub_per_cell": 1.223, "spacegroup": "R-3m (166)"}

Q:
{"formula": "Mn2CoH", "functional": "PBE", "state": "relaxed", "lattice_angstrom": [[-2.876, 2.876, 2.151], [2.876, -2.876, 2.151], [2.876, 2.876, -2.151]], "species": ["Mn", "Mn", "Mn", "Mn", "Co", "Co", "H", "H"], "fractional_positions": [[0.028, 0.625, 0.903], [0.375, 0.278, 0.403], [0.722, 0.125, 0.097], [0.875, 0.972, 0.597], [0.250, 0.750, 0.500], [0.500, 0.500, 0.000], [0.000, 0.000, 0.000], [0.750, 0.250, 0.500]], "total_magnetization_mub_per_cell": 3.868, "spacegroup": "I-42d (122)"}

Energetically preferred structure: Q | next structure: +7.6 kJ/mol of atoms